Run i
The following is a DFT calculation (GGA-PBE) of BeZn2Se after structural relaxation.

Values from the calculation:
magnetization: 0.00 μB per atom

```
16
Lattice="6.155 0.000 0.000 0.000 6.155 0.000 0.000 0.000 8.459" Properties=species:S:1:pos:R:3 pbc="T T T"
Be 0.000 0.000 0.000
Be 0.000 3.077 2.115
Be 3.077 0.000 6.345
Be 3.077 3.077 4.230
Zn 1.435 1.539 1.057
Zn 1.539 4.512 3.172
Zn 1.539 4.720 7.402
Zn 1.643 1.539 5.287
Zn 4.512 4.616 5.287
Zn 4.616 1.435 7.402
Zn 4.616 1.643 3.172
Zn 4.720 4.616 1.057
Se 0.000 0.000 4.230
Se 0.000 3.077 6.345
Se 3.077 0.000 2.115
Se 3.077 3.077 0.000
```

Run ii
The following is a DFT calculation (GGA-PBE) of BeZn2Se after structural relaxation.

Values from the calculation:
magnetization: 0.00 μB per atom

```
8
Lattice="3.306 0.000 0.000 0.000 3.387 0.000 0.000 0.000 11.706" Properties=species:S:1:pos:R:3 pbc="T T T"
Be 0.000 0.000 0.000
Be 1.653 1.693 5.853
Zn 0.000 1.693 3.518
Zn 0.000 1.693 8.189
Zn 1.653 0.000 2.336
Zn 1.653 0.000 9.371
Se 0.000 0.000 5.853
Se 1.653 1.693 0.000
```

run ii is the most stable structure; the next one sits 0.143 eV/atom above it.

Run i
The following is a DFT calculation (GGA-PBE) of BeZnSe after structural relaxation.

Values from the calculation:
magnetization: 0.00 μB per atom

```
12
Lattice="5.895 0.000 0.000 0.000 5.895 0.000 0.000 0.000 5.895" Properties=species:S:1:pos:R:3 pbc="T T T"
Be 0.000 0.000 0.000
Be 0.000 2.948 2.948
Be 2.948 0.000 2.948
Be 2.948 2.948 0.000
Zn 1.474 1.474 4.421
Zn 1.474 4.421 1.474
Zn 4.421 1.474 1.474
Zn 4.421 4.421 4.421
Se 1.474 1.474 1.474
Se 1.474 4.421 4.421
Se 4.421 1.474 4.421
Se 4.421 4.421 1.474
```

Run ii
The following is a DFT calculation (GGA-PBE) of BeZnSe after structural relaxation.

Values from the calculation:
magnetization: 0.00 μB per atom

```
6
Lattice="3.339 0.000 0.000 0.000 3.339 0.000 0.000 0.000 10.759" Properties=species:S:1:pos:R:3 pbc="T T T"
Be 0.000 0.000 0.000
Be 1.669 1.669 5.379
Zn 0.000 0.000 8.478
Zn 1.669 1.669 3.098
Se 0.000 0.000 5.957
Se 1.669 1.669 0.578
```

Run iii
The following is a DFT calculation (GGA-PBE) of BeZnSe after structural relaxation.

Values from the calculation:
magnetization: 0.00 μB per atom

```
3
Lattice="3.499 0.000 0.000 -1.750 3.030 0.000 0.000 0.000 5.017" Properties=species:S:1:pos:R:3 pbc="T T T"
Be 0.000 0.000 0.000
Zn 1.750 1.010 1.803
Se 0.000 2.020 4.129
```

run iii is the most stable structure; the next one sits 0.160 eV/atom above it.

Run i
The following is a DFT calculation (GGA-PBE) of BeZnSe after structural relaxation.

Values from the calculation:
magnetization: 0.00 μB per atom

```
12
Lattice="3.479 0.000 0.000 0.000 5.810 0.000 0.000 0.000 10.968" Properties=species:S:1:pos:R:3 pbc="T T T"
Be 0.000 0.000 0.000
Be 0.000 2.905 5.484
Be 1.740 0.000 5.484
Be 1.740 2.905 0.000
Zn 0.000 0.000 7.281
Zn 0.000 2.905 1.797
Zn 1.740 0.000 1.797
Zn 1.740 2.905 7.281
Se 0.000 0.000 4.246
Se 0.000 2.905 9.730
Se 1.740 0.000 9.730
Se 1.740 2.905 4.246
```

Run ii
The following is a DFT calculation (GGA-PBE) of BeZnSe after structural relaxation.

Values from the calculation:
magnetization: 0.00 μB per atom

```
6
Lattice="3.083 0.000 0.000 0.000 3.083 0.000 0.000 0.000 11.616" Properties=species:S:1:pos:R:3 pbc="T T T"
Be 0.000 0.000 0.000
Be 1.542 1.542 5.808
Zn 0.000 0.000 7.645
Zn 1.542 1.542 1.837
Se 0.000 0.000 4.885
Se 1.542 1.542 10.693
```

run i is the most stable structure; the next one sits 0.086 eV/atom above it.

Run i
The following is a DFT calculation (GGA-PBE) of Zr3BeSe after structural relaxation.

Values from the calculation:
magnetization: 0.00 μB per atom

```
5
Lattice="4.710 0.000 0.000 0.000 4.710 0.000 0.000 0.000 4.710" Properties=species:S:1:pos:R:3 pbc="T T T"
Zr 0.000 0.000 2.355
Zr 0.000 2.355 0.000
Zr 2.355 0.000 0.000
Be 0.000 0.000 0.000
Se 2.355 2.355 2.355
```

Run ii
The following is a DFT calculation (GGA-PBE) of Zr3BeSe after structural relaxation.

Values from the calculation:
magnetization: 0.00 μB per atom

```
10
Lattice="9.767 -1.778 0.000 9.767 1.778 0.000 -0.780 0.000 5.461" Properties=species:S:1:pos:R:3 pbc="T T T"
Zr -0.172 0.000 1.313
Zr 3.329 0.000 3.264
Zr 6.412 0.000 5.074
Zr 12.341 0.000 0.387
Zr 15.424 0.000 2.197
Zr 18.925 0.000 4.148
Be 4.540 0.000 0.547
Be 14.214 0.000 4.914
Se 7.711 0.000 2.481
Se 11.043 0.000 2.980
```

run ii is the most stable structure; the next one sits 0.686 eV/atom above it.

Run i
The following is a DFT calculation (GGA-PBE) of Zr2BeSe after structural relaxation.

Values from the calculation:
magnetization: 0.00 μB per atom

```
8
Lattice="3.697 0.000 0.000 0.000 3.737 0.000 0.000 0.000 9.935" Properties=species:S:1:pos:R:3 pbc="T T T"
Zr 0.000 0.000 0.000
Zr 0.000 1.868 4.967
Zr 1.848 0.000 2.967
Zr 1.848 1.868 7.935
Be 1.848 0.000 5.587
Be 1.848 1.868 0.619
Se 0.000 0.000 7.085
Se 0.000 1.868 2.118
```

Run ii
The following is a DFT calculation (GGA-PBE) of Zr2BeSe after structural relaxation.

Values from the calculation:
magnetization: 0.00 μB per atom

```
8
Lattice="3.890 0.000 0.000 0.000 3.890 0.000 0.000 0.000 9.550" Properties=species:S:1:pos:R:3 pbc="T T T"
Zr 0.000 0.000 0.000
Zr 0.000 1.945 2.388
Zr 1.945 0.000 7.163
Zr 1.945 1.945 4.775
Be 0.000 1.945 7.163
Be 1.945 0.000 2.388
Se 0.000 0.000 4.775
Se 1.945 1.945 0.000
```

Run iii
The following is a DFT calculation (GGA-PBE) of Zr2BeSe after structural relaxation.

Values from the calculation:
magnetization: 0.00 μB per atom

```
16
Lattice="5.704 0.000 0.000 0.000 5.704 0.000 0.000 0.000 12.109" Properties=species:S:1:pos:R:3 pbc="T T T"
Zr 1.194 1.426 1.514
Zr 1.426 4.046 4.541
Zr 1.426 4.511 10.596
Zr 1.659 1.426 7.568
Zr 4.046 4.278 7.568
Zr 4.278 1.194 10.596
Zr 4.278 1.659 4.541
Zr 4.511 4.278 1.514
Be 0.000 0.000 0.000
Be 0.000 2.852 3.027
Be 2.852 0.000 9.082
Be 2.852 2.852 6.055
Se 0.000 0.000 6.055
Se 0.000 2.852 9.082
Se 2.852 0.000 3.027
Se 2.852 2.852 0.000
```

Run iv
The following is a DFT calculation (GGA-PBE) of Zr2BeSe after structural relaxation.

Values from the calculation:
magnetization: 0.00 μB per atom

```
4
Lattice="3.784 0.000 0.000 0.000 3.784 0.000 0.000 0.000 5.280" Properties=species:S:1:pos:R:3 pbc="T T T"
Zr 0.000 0.000 0.000
Zr 1.892 1.892 2.640
Be 0.000 0.000 2.640
Se 1.892 1.892 0.000
```

run i is the most stable structure; the next one sits 0.084 eV/atom above it.

Run i
The following is a DFT calculation (GGA-PBE) of Zr2BeSe after structural relaxation.

Values from the calculation:
magnetization: 0.00 μB per atom

```
16
Lattice="6.590 0.000 0.000 0.000 6.590 0.000 0.000 0.000 6.590" Properties=species:S:1:pos:R:3 pbc="T T T"
Zr 1.648 1.648 1.648
Zr 1.648 1.648 4.943
Zr 1.648 4.943 1.648
Zr 1.648 4.943 4.943
Zr 4.943 1.648 1.648
Zr 4.943 1.648 4.943
Zr 4.943 4.943 1.648
Zr 4.943 4.943 4.943
Be 0.000 0.000 0.000
Be 0.000 3.295 3.295
Be 3.295 0.000 3.295
Be 3.295 3.295 0.000
Se 0.000 0.000 3.295
Se 0.000 3.295 0.000
Se 3.295 0.000 0.000
Se 3.295 3.295 3.295
```

Run ii
The following is a DFT calculation (GGA-PBE) of Zr2BeSe after structural relaxation.

Values from the calculation:
magnetization: 0.00 μB per atom

```
4
Lattice="3.382 0.000 0.000 0.000 3.355 0.000 -0.791 0.000 6.305" Properties=species:S:1:pos:R:3 pbc="T T T"
Zr -0.116 0.000 1.656
Zr 2.707 0.000 4.649
Be 1.295 1.678 3.152
Se 1.691 1.678 0.000
```

run ii is the most stable structure; the next one sits 0.183 eV/atom above it.

Run i
The following is a DFT calculation (GGA-PBE) of Zr2BeSe after structural relaxation.

Values from the calculation:
magnetization: 0.00 μB per atom

```
4
Lattice="3.219 0.000 0.000 0.000 3.219 0.000 0.000 0.000 7.009" Properties=species:S:1:pos:R:3 pbc="T T T"
Zr 0.000 0.000 0.000
Zr 1.610 1.610 2.409
Be 0.000 0.000 4.125
Se 1.610 1.610 5.258
```

Run ii
The following is a DFT calculation (GGA-PBE) of Zr2BeSe after structural relaxation.

Values from the calculation:
magnetization: 0.00 μB per atom

```
8
Lattice="3.902 0.000 0.000 0.000 4.943 0.000 0.000 0.000 7.482" Properties=species:S:1:pos:R:3 pbc="T T T"
Zr 0.000 0.000 1.839
Zr 0.000 0.000 5.643
Zr 1.951 2.472 1.902
Zr 1.951 2.472 5.580
Be 0.000 2.472 3.741
Be 1.951 0.000 0.000
Se 0.000 2.472 0.000
Se 1.951 0.000 3.741
```

run ii is the most stable structure; the next one sits 0.147 eV/atom above it.

Run i
The following is a DFT calculation (GGA-PBE) of Zr2BeSe after structural relaxation.

Values from the calculation:
magnetization: 0.00 μB per atom

```
12
Lattice="3.431 0.000 0.000 -1.716 2.972 0.000 0.000 0.000 23.120" Properties=species:S:1:pos:R:3 pbc="T T T"
Zr 0.000 0.000 0.000
Zr 0.000 0.000 5.364
Zr 0.000 1.981 15.413
Zr 0.000 1.981 20.777
Zr 1.716 0.991 7.707
Zr 1.716 0.991 13.071
Be 0.000 0.000 17.552
Be 0.000 1.981 9.845
Be 1.716 0.991 2.138
Se 0.000 0.000 10.924
Se 0.000 1.981 3.217
Se 1.716 0.991 18.630
```

Run ii
The following is a DFT calculation (GGA-PBE) of Zr2BeSe after structural relaxation.

Values from the calculation:
magnetization: 0.00 μB per atom

```
8
Lattice="5.270 0.000 0.000 0.000 3.669 0.000 -2.602 0.000 7.061" Properties=species:S:1:pos:R:3 pbc="T T T"
Zr 0.026 0.917 2.981
Zr 1.242 2.752 0.483
Zr 1.427 0.917 6.577
Zr 2.643 2.752 4.080
Be -1.407 0.917 5.576
Be 4.076 2.752 1.485
Se 0.007 2.752 5.059
Se 2.662 0.917 2.002
```

Run iii
The following is a DFT calculation (GGA-PBE) of Zr2BeSe after structural relaxation.

Values from the calculation:
magnetization: 0.00 μB per atom

```
16
Lattice="6.627 0.000 0.000 0.000 6.627 0.000 0.000 0.000 6.627" Properties=species:S:1:pos:R:3 pbc="T T T"
Zr 0.000 0.000 0.000
Zr 0.000 3.313 3.313
Zr 1.657 1.657 1.657
Zr 1.657 4.970 4.970
Zr 3.313 0.000 3.313
Zr 3.313 3.313 0.000
Zr 4.970 1.657 4.970
Zr 4.970 4.970 1.657
Be 1.657 1.657 4.970
Be 1.657 4.970 1.657
Be 4.970 1.657 1.657
Be 4.970 4.970 4.970
Se 0.000 0.000 3.313
Se 0.000 3.313 0.000
Se 3.313 0.000 0.000
Se 3.313 3.313 3.313
```

Run iv
The following is a DFT calculation (GGA-PBE) of Zr2BeSe after structural relaxation.

Values from the calculation:
magnetization: 0.00 μB per atom

```
8
Lattice="6.325 0.000 0.000 0.000 3.644 0.000 -2.099 0.000 6.505" Properties=species:S:1:pos:R:3 pbc="T T T"
Zr 1.057 0.000 1.463
Zr 0.006 1.822 5.042
Zr 4.220 1.822 1.463
Zr 3.169 0.000 5.042
Be 0.000 1.822 0.000
Be 3.163 0.000 0.000
Se -1.050 0.000 3.252
Se 2.113 1.822 3.252
```

run ii is the most stable structure; the next one sits 0.057 eV/atom above it.

Run i
The following is a DFT calculation (GGA-PBE) of Zr2BeSe after structural relaxation.

Values from the calculation:
magnetization: 0.00 μB per atom

```
8
Lattice="5.988 0.000 0.000 0.000 7.316 0.000 0.000 0.000 3.252" Properties=species:S:1:pos:R:3 pbc="T T T"
Zr 1.497 1.829 0.000
Zr 1.497 5.487 0.000
Zr 4.491 1.829 0.000
Zr 4.491 5.487 0.000
Be 0.000 0.000 1.626
Be 2.994 3.658 1.626
Se 0.000 3.658 1.626
Se 2.994 0.000 1.626
```

Run ii
The following is a DFT calculation (GGA-PBE) of Zr2BeSe after structural relaxation.

Values from the calculation:
magnetization: 0.00 μB per atom

```
8
Lattice="6.079 0.000 0.000 0.000 7.281 0.000 -0.652 0.000 3.254" Properties=species:S:1:pos:R:3 pbc="T T T"
Zr 1.520 1.820 0.000
Zr 1.520 5.461 0.000
Zr 4.559 1.820 0.000
Zr 4.559 5.461 0.000
Be -0.326 0.000 1.627
Be 2.713 3.641 1.627
Se -0.326 3.641 1.627
Se 2.713 0.000 1.627
```

run ii is the most stable structure; the next one sits 0.011 eV/atom above it.

Run i
The following is a DFT calculation (GGA-PBE) of BeSi after structural relaxation.

Values from the calculation:
magnetization: 0.00 μB per atom

```
2
Lattice="2.835 0.000 0.000 0.000 2.835 0.000 0.000 0.000 2.835" Properties=species:S:1:pos:R:3 pbc="T T T"
Be 0.000 0.000 0.000
Si 1.418 1.418 1.418
```

Run ii
The following is a DFT calculation (GGA-PBE) of BeSi after structural relaxation.

Values from the calculation:
magnetization: 0.00 μB per atom

```
8
Lattice="3.995 0.000 0.000 0.000 3.817 0.000 0.000 0.000 6.922" Properties=species:S:1:pos:R:3 pbc="T T T"
Be 0.644 0.954 0.000
Be 0.644 2.863 3.461
Be 3.351 0.954 3.461
Be 3.351 2.863 0.000
Si 1.226 0.954 4.777
Si 1.226 2.863 1.316
Si 2.768 0.954 1.316
Si 2.768 2.863 4.777
```

Run iii
The following is a DFT calculation (GGA-PBE) of BeSi after structural relaxation.

Values from the calculation:
magnetization: 0.00 μB per atom

```
16
Lattice="6.906 0.000 0.000 0.000 6.906 0.000 0.000 0.000 6.906" Properties=species:S:1:pos:R:3 pbc="T T T"
Be 1.260 1.260 1.260
Be 1.260 5.646 5.646
Be 2.193 2.193 4.713
Be 2.193 4.713 2.193
Be 4.713 2.193 2.193
Be 4.713 4.713 4.713
Be 5.646 1.260 5.646
Be 5.646 5.646 1.260
Si 0.955 0.955 5.951
Si 0.955 5.951 0.955
Si 2.498 2.498 2.498
Si 2.498 4.407 4.407
Si 4.407 2.498 4.407
Si 4.407 4.407 2.498
Si 5.951 0.955 0.955
Si 5.951 5.951 5.951
```

run ii is the most stable structure; the next one sits 0.272 eV/atom above it.

Run i
The following is a DFT calculation (GGA-PBE) of BeSi after structural relaxation.

Values from the calculation:
magnetization: 0.00 μB per atom

```
4
Lattice="3.873 0.000 0.000 -1.936 3.354 0.000 0.000 0.000 4.701" Properties=species:S:1:pos:R:3 pbc="T T T"
Be 0.000 2.236 1.175
Be 1.936 1.118 3.526
Si 0.000 2.236 3.526
Si 1.936 1.118 1.175
```

Run ii
The following is a DFT calculation (GGA-PBE) of BeSi after structural relaxation.

Values from the calculation:
magnetization: 0.00 μB per atom

```
4
Lattice="3.564 0.000 0.000 -1.782 3.674 0.000 -0.014 -2.120 4.137" Properties=species:S:1:pos:R:3 pbc="T T T"
Be -0.003 0.633 1.262
Be 1.771 0.921 2.875
Si -0.012 -0.519 3.249
Si 1.781 2.073 0.888
```

run ii is the most stable structure; the next one sits 0.303 eV/atom above it.